1.
A relaxed Mg2H2Cl crystal, computed with PBE.

abc: 7.065 7.065 3.288
angles: 90.00 90.00 90.00
Atoms (fractional coordinates):
Mg: 0.174 0.326 0.000
Mg: 0.326 0.826 0.000
Mg: 0.674 0.174 0.000
Mg: 0.826 0.674 0.000
H: 0.242 0.742 0.500
H: 0.258 0.242 0.500
H: 0.742 0.758 0.500
H: 0.758 0.258 0.500
Cl: 0.000 0.000 0.000
Cl: 0.500 0.500 0.000

Energy above the lowest structure with this stoichiometry (eV per atom): 0.058
Fermi-level density of states (states/eV per atom): 0.2177
Uncorrected energy (eV per atom): -2.688
Density (g/cm3): 1.7
Space-group type: P4/mbm (127)


2.
A relaxed Li5Pt6W crystal, computed with PBE.

abc: 6.795 6.795 5.853
angles: 90.00 90.00 142.64
Atoms (fractional coordinates):
Li: 0.000 0.000 0.000
Li: 0.330 0.670 0.500
Li: 0.336 0.664 0.000
Li: 0.664 0.336 0.000
Li: 0.670 0.330 0.500
Pt: 0.166 0.834 0.245
Pt: 0.166 0.834 0.755
Pt: 0.500 0.500 0.248
Pt: 0.500 0.500 0.752
Pt: 0.834 0.166 0.245
Pt: 0.834 0.166 0.755
W: 0.000 0.000 0.500

E_form (eV/atom): -0.50
Fermi-level density of states (states/eV per atom): 0.2464
Uncorrected energy (eV per atom): -5.401
Density (g/cm3): 14.1
Space-group type: Cmmm (65)


3.
A relaxed Th2ZnCu3Si4 crystal, computed with PBE.

abc: 4.161 4.161 9.888
angles: 90.00 90.00 90.00
Atoms (fractional coordinates):
Th: 0.000 0.500 0.246
Th: 0.500 0.000 0.754
Zn: 0.000 0.000 0.500
Cu: 0.000 0.500 0.876
Cu: 0.500 0.000 0.124
Cu: 0.500 0.500 0.500
Si: 0.000 0.000 0.000
Si: 0.000 0.500 0.638
Si: 0.500 0.000 0.362
Si: 0.500 0.500 0.000

Fermi-level density of states (states/eV per atom): 0.2815
Uncorrected energy (eV per atom): -5.503
Density (g/cm3): 8.1
Space-group type: P-4m2 (115)